## TlCu3W (GGA-PBE)

Data for crystalline TlCu3W at its relaxed geometry.

Values from the calculation:
Crystal system: cubic
ΔE to the lowest computed polymorph in eV per atom: 0.000
Energy relative to the elements in eV/atom: 1.392
Size of the total moment in μB per atom: 0.0000

Cell lengths 4.823, 4.823, 4.823 Å; angles 90.00, 90.00, 90.00 degrees
Fractional positions:
Cu  0.000  0.000  0.500
Cu  0.000  0.500  0.000
W  0.000  0.000  0.000
Cu  0.500  0.000  0.000
Tl  0.500  0.500  0.500